VASP calculation (GGA-PBE) on a geometry-optimized CoNiPd structure.

Output
Crystal system: triclinic
D(E_F): 0.772 states/eV per atom
Raw total energy: -6.003 eV/atom
ΔH_f (0 K): 0.02 eV per atom
ΔE to the lowest computed polymorph: 0.0 meV per atom
Symmetry: No. 2

a = 2.631 Å, b = 5.309 Å, c = 5.724 Å
α = 103.73°, β = 103.21°, γ = 89.86°
Site moments in Bohr magnetons follow the coordinates.
Atoms (fractional coordinates):
1 Co 0.940 0.272 0.646  1.88
2 Co 0.938 0.832 0.643  1.88
3 Ni 0.602 0.132 0.971  0.76
4 Ni 0.276 0.972 0.318  0.76
5 Pd 0.282 0.468 0.331  0.27
6 Pd 0.595 0.636 0.958  0.27

VASP calculation (GGA-PBE) on a geometry-optimized BaS2N2 structure.

Output
Crystal system: tetragonal
D(E_F): 0.499 states/eV per atom
Raw total energy: -4.603 eV/atom
ΔE to the lowest computed polymorph: 884.4 meV per atom
Symmetry: No. 123

a = 4.261 Å, b = 4.261 Å, c = 4.642 Å
α = 90.00°, β = 90.00°, γ = 90.00°
Site moments in Bohr magnetons follow the coordinates.
Atoms (fractional coordinates):
1 S 0.000 0.000 0.000  -0.06
2 S 0.000 0.000 0.500  0.14
3 Ba 0.500 0.500 0.500  0.01
4 N 0.000 0.500 0.000  0.69
5 N 0.500 0.000 0.000  0.69

VASP calculation (GGA-PBE) on a geometry-optimized CaNd3In3 structure.

Output
Crystal system: orthorhombic
D(E_F): 0.892 states/eV per atom
Raw total energy: -3.849 eV/atom
ΔH_f (0 K): -0.35 eV per atom
Symmetry: No. 65

a = 7.714 Å, b = 7.714 Å, c = 7.456 Å
α = 90.00°, β = 90.00°, γ = 90.20°
Site moments in Bohr magnetons follow the coordinates.
Atoms (fractional coordinates):
1 Ca 0.723 0.723 0.000  0.00
2 Ca 0.277 0.277 0.000  0.00
3 Nd 0.743 0.743 0.500  0.09
4 Nd 0.271 0.729 0.500  0.09
5 Nd 0.729 0.271 0.500  0.09
6 Nd 0.234 0.766 0.000  0.01
7 Nd 0.766 0.234 0.000  0.01
8 Nd 0.257 0.257 0.500  0.09
9 In 0.000 0.000 0.267  0.00
10 In 0.000 0.500 0.753  0.00
11 In 0.500 0.000 0.753  0.00
12 In 0.000 0.500 0.247  0.00
13 In 0.500 0.000 0.247  0.00
14 In 0.000 0.000 0.733  0.00

VASP calculation (GGA-PBE) on a geometry-optimized LiTe2SN structure.

Output
Crystal system: tetragonal
D(E_F): 0.655 states/eV per atom
Raw total energy: -3.681 eV/atom
ΔE to the lowest computed polymorph: 0.0 meV per atom
Symmetry: No. 123

a = 5.877 Å, b = 5.877 Å, c = 3.276 Å
α = 90.00°, β = 90.00°, γ = 90.00°
Atoms (fractional coordinates):
1 S 0.000 0.000 0.000
2 Te 0.000 0.500 0.000
3 Te 0.500 0.000 0.000
4 Li 0.500 0.500 0.500
5 N 0.000 0.000 0.500

| no. | V (Å³/f.u.) |
| --- | --- |
| 1 | 37.8 |
| 2 | 84.3 |
| 3 | 221.8 |
| 4 | 113.1 |